The following is a GGA+U calculation of a relaxed structure of Ba3TaFe3Si2O14, from Alexandria.

Computed properties:
- M_tot (μB per formula unit) = 14.89
- volume (Å³/atom) = 15.1
- density (g cm⁻³) = 4.99
- electronic total energy (eV/atom) = -7.50

Geometry as POSCAR:
```
Ba3TaFe3Si2O14
1.0
-7.499 -0.697 -4.315
7.518 0.017 -4.338
0.252 -5.288 0.416
O Si Fe Ta Ba
14 2 3 1 3
direct
0.300 0.476 0.647
0.898 0.113 0.777
0.524 0.824 0.647
0.785 0.887 0.223
0.102 0.215 0.223
0.333 0.667 0.218
0.176 0.700 0.647
0.667 0.333 0.782
0.887 0.785 0.777
0.700 0.176 0.353
0.476 0.300 0.353
0.215 0.102 0.777
0.113 0.898 0.223
0.824 0.524 0.353
0.667 0.333 0.478
0.333 0.667 0.522
0.253 0.253 0.500
0.747 0.000 0.500
0.000 0.747 0.500
0.000 0.000 0.000
0.431 0.000 0.000
0.000 0.431 0.000
0.569 0.569 0.000
```